# 1
LaAsIr2 | GGA-PBEsol | optimized geometry

```
LaAsIr2
1.0
4.253 0.000 0.000
0.000 4.253 0.000
0.000 0.000 4.018
La As Ir
1 1 2
Direct
0.000 0.000 0.000
0.500 0.500 0.000
0.000 0.500 0.500
0.500 0.000 0.500
```

Computed properties:
formation enthalpy at 0 K = -207 meV/atom
D(E_F) = 1.8 states/eV/f.u.
total DFT energy (no corrections) = -0.2841 hartree per atom
space-group type = P4/mmm, No. 123
volume = 72.68 Å³/f.u.

# 2
Li2CdIr | GGA-PBEsol | optimized geometry

```
Li2CdIr
1.0
1.425 -2.304 0.000
1.425 2.304 0.000
0.000 0.000 9.291
Li Cd Ir
2 1 1
Direct
0.000 0.000 0.222
0.000 0.000 0.778
0.500 0.500 0.500
0.500 0.500 0.000
```

Computed properties:
formation enthalpy at 0 K = -99 meV/atom
D(E_F) = 2.2 states/eV/f.u.
total DFT energy (no corrections) = -0.1410 hartree per atom
space-group type = Cmmm, No. 65
volume = 61.03 Å³/f.u.

# 3
LiSb3Se | GGA-PBEsol | optimized geometry

```
LiSb3Se
1.0
5.382 0.000 0.000
0.000 5.382 0.000
0.000 0.000 5.382
Li Sb Se
1 3 1
Direct
0.000 0.000 0.000
0.000 0.500 0.500
0.500 0.000 0.500
0.500 0.500 0.000
0.500 0.500 0.500
```

Computed properties:
D(E_F) = 4.6 states/eV/f.u.
total DFT energy (no corrections) = -0.1274 hartree per atom
space-group type = Pm-3m, No. 221
formation energy from raw total energies = 0.432 eV per atom
volume = 155.87 Å³/f.u.

# 4
CuHgPb2 | GGA-PBEsol | optimized geometry

```
CuHgPb2
1.0
6.159 -1.660 0.000
6.159 1.660 0.000
-1.995 0.000 4.584
Cu Hg Pb
1 1 2
Direct
0.000 0.000 0.000
0.307 0.307 0.803
0.500 0.500 0.498
0.706 0.706 0.201
```

Computed properties:
formation enthalpy at 0 K = 170 meV/atom
D(E_F) = 1.7 states/eV/f.u.
total DFT energy (no corrections) = -0.1122 hartree per atom
space-group type = Cm, No. 8
volume = 93.74 Å³/f.u.

# 5
Zr2SbMo | GGA-PBEsol | optimized geometry

```
Zr2SbMo
1.0
3.585 0.000 0.000
0.000 3.585 0.000
0.000 0.000 6.118
Zr Sb Mo
2 1 1
Direct
0.000 0.000 0.240
0.000 0.000 0.760
0.500 0.500 0.500
0.500 0.500 0.000
```

Computed properties:
D(E_F) = 2.5 states/eV/f.u.
total DFT energy (no corrections) = -0.3303 hartree per atom
space-group type = P4/mmm, No. 123
formation energy from raw total energies = -0.361 eV per atom
volume = 78.62 Å³/f.u.

# 6
TlRe2Cl | GGA-PBEsol | optimized geometry

```
TlRe2Cl
1.0
1.409 -2.575 0.000
1.409 2.575 0.000
0.000 0.000 9.215
Tl Re Cl
1 2 1
Direct
0.000 0.000 0.000
0.500 0.500 0.267
0.500 0.500 0.733
0.000 0.000 0.500
```

Computed properties:
D(E_F) = 4.7 states/eV/f.u.
total DFT energy (no corrections) = -0.2448 hartree per atom
energy above the lowest structure with this stoichiometry = 60 meV/atom
space-group type = Cmmm, No. 65
formation energy from raw total energies = 1.165 eV per atom
volume = 66.88 Å³/f.u.

# 7
Na2P2H12O11F2 | GGA-PBEsol | optimized geometry

```
Na2P2H12O11F2
1.0
9.578 -2.607 0.000
9.578 2.607 0.000
-3.832 0.000 11.755
Na P H O F
4 4 24 22 4
Direct
0.074 0.883 0.617
0.117 0.926 0.883
0.883 0.074 0.117
0.926 0.117 0.383
0.009 0.664 0.220
0.336 0.991 0.280
0.664 0.009 0.720
0.991 0.336 0.780
0.007 0.224 0.087
0.129 0.561 0.449
0.224 0.007 0.587
0.245 0.275 0.682
0.262 0.432 0.567
0.273 0.550 0.984
0.275 0.245 0.182
0.401 0.518 0.243
0.432 0.262 0.067
0.439 0.871 0.051
0.450 0.727 0.516
0.482 0.599 0.257
0.518 0.401 0.743
0.550 0.273 0.484
0.561 0.129 0.949
0.568 0.738 0.933
0.599 0.482 0.757
0.725 0.755 0.818
0.727 0.450 0.016
0.738 0.568 0.433
0.755 0.725 0.318
0.776 0.993 0.413
0.871 0.439 0.551
0.993 0.776 0.913
0.050 0.782 0.234
0.092 0.286 0.678
0.120 0.738 0.964
0.218 0.950 0.266
0.246 0.508 0.518
0.262 0.880 0.536
0.265 0.360 0.179
0.286 0.092 0.178
0.360 0.265 0.679
0.435 0.565 0.750
0.492 0.754 0.982
0.508 0.246 0.018
0.565 0.435 0.250
0.640 0.735 0.321
0.714 0.908 0.822
0.735 0.640 0.821
0.738 0.120 0.464
0.754 0.492 0.482
0.782 0.050 0.734
0.880 0.262 0.036
0.908 0.714 0.322
0.950 0.218 0.766
0.209 0.214 0.882
0.214 0.209 0.382
0.786 0.791 0.618
0.791 0.786 0.118
```

Computed properties:
D(E_F) = 0.0 states/eV/f.u.
total DFT energy (no corrections) = -0.2040 hartree per atom
space-group type = C2/c, No. 15
volume = 293.55 Å³/f.u.

# 8
SiH18C2N8O2F6 | GGA-PBEsol | optimized geometry

```
SiH18C2N8O2F6
1.0
6.420 0.000 0.000
-0.027 6.589 0.000
-0.832 -2.525 7.383
Si H C N O F
1 18 2 8 2 6
Direct
0.000 0.000 0.000
0.122 0.536 0.308
0.128 0.783 0.293
0.153 0.181 0.387
0.217 0.327 0.621
0.218 0.377 0.944
0.251 0.608 0.925
0.296 0.865 0.672
0.448 0.080 0.211
0.474 0.615 0.246
0.526 0.385 0.754
0.552 0.920 0.789
0.704 0.135 0.328
0.749 0.392 0.075
0.782 0.623 0.056
0.783 0.673 0.379
0.847 0.819 0.613
0.872 0.217 0.707
0.878 0.464 0.692
0.467 0.242 0.482
0.533 0.758 0.518
0.188 0.688 0.366
0.262 0.260 0.493
0.404 0.678 0.363
0.454 0.848 0.674
0.546 0.152 0.326
0.596 0.322 0.637
0.738 0.740 0.507
0.812 0.312 0.634
0.269 0.454 0.866
0.731 0.546 0.134
0.043 0.983 0.785
0.126 0.246 0.081
0.234 0.883 0.028
0.766 0.117 0.972
0.874 0.754 0.919
0.957 0.017 0.215
```

Computed properties:
D(E_F) = 0.0 states/eV/f.u.
total DFT energy (no corrections) = -0.2100 hartree per atom
space-group type = P-1, No. 2
volume = 312.37 Å³/f.u.

# 9
LiNiOF | GGA-PBEsol | optimized geometry

```
LiNiOF
1.0
2.865 0.000 0.000
0.000 2.865 0.000
0.000 0.000 16.515
Li Ni O F
4 4 4 4
Direct
0.250 0.250 0.059
0.250 0.250 0.818
0.750 0.750 0.182
0.750 0.750 0.941
0.250 0.250 0.312
0.250 0.250 0.564
0.750 0.750 0.436
0.750 0.750 0.688
0.250 0.250 0.440
0.250 0.250 0.689
0.750 0.750 0.311
0.750 0.750 0.560
0.250 0.250 0.179
0.250 0.250 0.940
0.750 0.750 0.060
0.750 0.750 0.821
```

Computed properties:
D(E_F) = 1.4 states/eV/f.u.
total DFT energy (no corrections) = -0.2034 hartree per atom
energy above the lowest structure with this stoichiometry = 0 meV/atom
space-group type = P4/nmm, No. 129
formation energy from raw total energies = -1.711 eV per atom
volume = 33.89 Å³/f.u.

# 10
Al2AgRu | GGA-PBEsol | optimized geometry

```
Al2AgRu
1.0
3.037 0.000 0.000
0.000 3.037 0.000
0.000 0.000 6.235
Al Ag Ru
2 1 1
Direct
0.000 0.000 0.221
0.000 0.000 0.779
0.500 0.500 0.500
0.500 0.500 0.000
```

Computed properties:
formation enthalpy at 0 K = -446 meV/atom
D(E_F) = 1.0 states/eV/f.u.
total DFT energy (no corrections) = -0.2155 hartree per atom
space-group type = P4/mmm, No. 123
volume = 57.50 Å³/f.u.

# 11
CoCu3Bi | GGA-PBEsol | optimized geometry

```
CoCu3Bi
1.0
4.397 0.000 0.000
0.000 4.397 0.000
0.000 0.000 4.397
Co Cu Bi
1 3 1
Direct
0.000 0.000 0.000
0.000 0.000 0.500
0.000 0.500 0.000
0.500 0.000 0.000
0.500 0.500 0.500
```

Computed properties:
formation enthalpy at 0 K = 797 meV/atom
D(E_F) = 4.2 states/eV/f.u.
total DFT energy (no corrections) = -0.1546 hartree per atom
space-group type = Pm-3m, No. 221
volume = 84.99 Å³/f.u.

# 12
TaCd2Fe | GGA-PBEsol | optimized geometry

```
TaCd2Fe
1.0
2.765 0.000 0.000
0.000 4.329 0.000
0.000 0.000 5.608
Ta Cd Fe
1 2 1
Direct
0.000 0.000 0.000
0.500 0.500 0.259
0.500 0.500 0.741
0.000 0.000 0.500
```

Computed properties:
formation enthalpy at 0 K = 401 meV/atom
D(E_F) = 1.9 states/eV/f.u.
total DFT energy (no corrections) = -0.2049 hartree per atom
energy above the lowest structure with this stoichiometry = 201 meV/atom
space-group type = Pmmm, No. 47
volume = 67.14 Å³/f.u.

# 13
Tb3Si2S8I | GGA-PBEsol | optimized geometry

```
Tb3Si2S8I
1.0
7.704 -3.786 0.000
7.704 3.786 0.000
-1.593 0.000 10.407
Tb Si S I
6 4 16 2
Direct
0.109 0.891 0.750
0.175 0.423 0.319
0.423 0.175 0.819
0.577 0.825 0.181
0.825 0.577 0.681
0.891 0.109 0.250
0.120 0.197 0.026
0.197 0.120 0.526
0.803 0.880 0.474
0.880 0.803 0.974
0.047 0.247 0.828
0.098 0.771 0.464
0.110 0.602 0.852
0.215 0.355 0.586
0.229 0.902 0.036
0.247 0.047 0.328
0.355 0.215 0.086
0.398 0.890 0.648
0.602 0.110 0.352
0.645 0.785 0.914
0.753 0.953 0.672
0.771 0.098 0.964
0.785 0.645 0.414
0.890 0.398 0.148
0.902 0.229 0.536
0.953 0.753 0.172
0.482 0.518 0.250
0.518 0.482 0.750
```

Computed properties:
D(E_F) = 0.0 states/eV/f.u.
total DFT energy (no corrections) = -0.2198 hartree per atom
space-group type = C2/c, No. 15
formation energy from raw total energies = -1.455 eV per atom
volume = 303.56 Å³/f.u.

# 14
MnFeSi | GGA-PBEsol | optimized geometry

```
MnFeSi
1.0
0.000 2.630 2.630
2.630 0.000 2.630
2.630 2.630 0.000
Mn Fe Si
1 1 1
Direct
0.000 0.000 0.000
0.250 0.250 0.250
0.500 0.500 0.500
```

Computed properties:
D(E_F) = 1.9 states/eV/f.u.
total DFT energy (no corrections) = -0.3066 hartree per atom
space-group type = F-43m, No. 216
formation energy from raw total energies = -0.185 eV per atom
volume = 36.40 Å³/f.u.

# 15
SrAgBr3 | GGA-PBEsol | optimized geometry

```
SrAgBr3
1.0
5.323 0.000 0.000
0.000 5.323 0.000
0.000 0.000 5.323
Sr Ag Br
1 1 3
Direct
0.000 0.000 0.000
0.500 0.500 0.500
0.000 0.500 0.500
0.500 0.000 0.500
0.500 0.500 0.000
```

Computed properties:
D(E_F) = 0.5 states/eV/f.u.
total DFT energy (no corrections) = -0.1182 hartree per atom
space-group type = Pm-3m, No. 221
formation energy from raw total energies = -1.063 eV per atom
volume = 150.81 Å³/f.u.

# 16
TaTe2As | GGA-PBEsol | optimized geometry

```
TaTe2As
1.0
-3.388 3.388 5.351
3.388 -3.388 5.351
3.388 3.388 -5.351
Ta Te As
2 4 2
Direct
0.000 0.000 0.000
0.750 0.250 0.500
0.102 0.625 0.977
0.375 0.352 0.477
0.648 0.125 0.023
0.875 0.898 0.523
0.250 0.750 0.500
0.500 0.500 0.000
```

Computed properties:
D(E_F) = 4.5 states/eV/f.u.
total DFT energy (no corrections) = -0.2018 hartree per atom
space-group type = I-42d, No. 122
formation energy from raw total energies = 0.687 eV per atom
volume = 122.84 Å³/f.u.

# 17
LaGdN2 | GGA-PBEsol | optimized geometry

```
LaGdN2
1.0
1.795 1.036 5.898
-1.795 1.036 5.898
0.000 -2.073 5.898
La Gd N
1 1 2
Direct
0.000 0.000 0.000
0.500 0.500 0.500
0.246 0.246 0.246
0.754 0.754 0.754
```

Computed properties:
D(E_F) = 0.2 states/eV/f.u.
total DFT energy (no corrections) = -0.3957 hartree per atom
space-group type = R-3m, No. 166
formation energy from raw total energies = -1.557 eV per atom
volume = 65.83 Å³/f.u.

# 18
ZrCuAs | GGA-PBEsol | optimized geometry

```
ZrCuAs
1.0
2.994 0.000 0.000
-1.497 2.593 0.000
0.000 0.000 6.588
Zr Cu As
1 1 1
Direct
0.000 0.000 0.000
0.667 0.333 0.342
0.333 0.667 0.647
```

Computed properties:
formation enthalpy at 0 K = -27 meV/atom
D(E_F) = 2.0 states/eV/f.u.
total DFT energy (no corrections) = -0.2280 hartree per atom
space-group type = P3m1, No. 156
volume = 51.14 Å³/f.u.

# 19
CuPPb2Br | GGA-PBEsol | optimized geometry

```
CuPPb2Br
1.0
5.536 0.000 0.000
0.000 5.536 0.000
0.000 0.000 4.139
Cu P Pb Br
1 1 2 1
Direct
0.000 0.000 0.000
0.000 0.000 0.500
0.000 0.500 0.000
0.500 0.000 0.000
0.500 0.500 0.500
```

Computed properties:
D(E_F) = 1.4 states/eV/f.u.
total DFT energy (no corrections) = -0.1446 hartree per atom
space-group type = P4/mmm, No. 123
formation energy from raw total energies = 0.063 eV per atom
volume = 126.85 Å³/f.u.

# 20
Ca2Cu2Sb | GGA-PBEsol | optimized geometry

```
Ca2Cu2Sb
1.0
-2.823 2.823 3.666
2.823 -2.823 3.666
2.823 2.823 -3.666
Ca Cu Sb
2 2 1
Direct
0.250 0.750 0.500
0.750 0.250 0.500
0.152 0.152 0.000
0.848 0.848 0.000
0.500 0.500 0.000
```

Computed properties:
D(E_F) = 3.9 states/eV/f.u.
total DFT energy (no corrections) = -0.1355 hartree per atom
space-group type = I4/mmm, No. 139
formation energy from raw total energies = -0.188 eV per atom
volume = 116.85 Å³/f.u.